No. 1
Here is ZrAs2SeCl after structural relaxation from Alexandria. Energies are from PBE.

Values from the calculation:
distance to the lowest polymorph of the same formula = 0.5687 eV/atom
ρ = 5.3 g/cm³
uncorrected formation energy = 0.60 eV/atom
total DFT energy (no corrections) = -4.034 eV per atom

Lattice parameters (Å, degrees): 4.7299 4.7299 5.0002 90.00 90.00 90.00
Closest atoms and distances in Å follow each position.
Space group P4/mmm (No. 123)
Asymmetric unit:
Zr (0.0000, 0.0000, 0.0000) (multiplicity 1)  4 Se 3.34, 8 As 3.44
As (0.0000, 0.5000, 0.5000) (multiplicity 2)  2 Cl 2.36
Se (0.5000, 0.5000, 0.0000) (multiplicity 1)  2 Cl 2.50
Cl (0.5000, 0.5000, 0.5000) (multiplicity 1)  4 As 2.36, 2 Se 2.50

=====

No. 2
Here is ZrAs2SeCl after structural relaxation from Alexandria. Energies are from PBE.

Values from the calculation:
distance to the lowest polymorph of the same formula = 0.0000 eV/atom
ρ = 4.2 g/cm³
uncorrected formation energy = 0.03 eV/atom
total DFT energy (no corrections) = -4.603 eV per atom

Lattice parameters (Å, degrees): 5.2698 5.2698 5.0958 90.00 90.00 90.00
Closest atoms and distances in Å follow each position.
Space group P4/mmm (No. 123)
Asymmetric unit:
Zr (0.0000, 0.0000, 0.0000) (multiplicity 1)  2 Se 2.55, 4 As 2.63
As (0.0000, 0.5000, 0.0000) (multiplicity 2)  2 Zr 2.63
Se (0.0000, 0.0000, 0.5000) (multiplicity 1)  2 Zr 2.55
Cl (0.5000, 0.5000, 0.5000) (multiplicity 1)  8 As 3.67, 4 Se 3.73

=====

No. 3
Here is SiAsCl2 after structural relaxation from Alexandria. Energies are from PBE.

Values from the calculation:
distance to the lowest polymorph of the same formula = 0.9144 eV/atom
ρ = 3.6 g/cm³
uncorrected formation energy = 0.49 eV/atom
total DFT energy (no corrections) = -2.952 eV per atom

Lattice parameters (Å, degrees): 6.1066 8.4477 3.0689 90.00 90.00 90.00
Closest atoms and distances in Å follow each position.
Space group Cmmm (No. 65)
Asymmetric unit:
Si (0.0000, 0.0000, 0.0000) (multiplicity 2)  8 Cl 3.02, 2 As 3.05, 2 Si 3.07
As (0.0000, 0.5000, 0.0000) (multiplicity 2)  8 Cl 3.02, 2 Si 3.05, 2 As 3.07
Cl (0.2500, 0.2500, 0.5000) (multiplicity 4)  4 Si 3.02, 4 As 3.02, 4 Cl 3.05-3.07

=====

No. 4
Here is SiAsCl2 after structural relaxation from Alexandria. Energies are from PBE.

Values from the calculation:
distance to the lowest polymorph of the same formula = 0.5828 eV/atom
ρ = 3.5 g/cm³
uncorrected formation energy = 0.16 eV/atom
total DFT energy (no corrections) = -3.283 eV per atom

Lattice parameters (Å, degrees): 3.2170 3.2170 27.7781 90.00 90.00 120.00
Closest atoms and distances in Å follow each position.
Space group R-3m (No. 166, hexagonal axes)
Asymmetric unit:
Si (0.0000, 0.0000, 0.0000) (multiplicity 3)  6 Cl 2.85
As (0.0000, 0.0000, 0.5000) (multiplicity 3)  2 Cl 2.47
Cl (0.0000, 0.0000, 0.4112) (multiplicity 6)  1 As 2.47

=====

No. 5
Here is SiAsCl2 after structural relaxation from Alexandria. Energies are from PBE.

Values from the calculation:
distance to the lowest polymorph of the same formula = 0.1471 eV/atom
ρ = 2.4 g/cm³
uncorrected formation energy = -0.28 eV/atom
total DFT energy (no corrections) = -3.719 eV per atom

Lattice parameters (Å, degrees): 10.9151 3.8493 5.7071 90.00 99.44 90.00
Closest atoms and distances in Å follow each position.
Space group Cm (No. 8)
Asymmetric unit:
Si (0.0000, 0.0000, 0.0000) (multiplicity 2)  1 Cl 2.12
As (0.0529, 0.5000, 0.2642) (multiplicity 2)  1 Cl 2.22, 2 Si 2.45
Cl (0.1621, 0.0000, 0.8405) (multiplicity 2)  1 Si 2.12
Cl (0.3885, 0.0000, 0.4477) (multiplicity 2)  1 As 2.22

=====

No. 6
Here is SiAsCl2 after structural relaxation from Alexandria. Energies are from PBE.

Values from the calculation:
distance to the lowest polymorph of the same formula = 0.5862 eV/atom
ρ = 3.3 g/cm³
uncorrected formation energy = 0.16 eV/atom
total DFT energy (no corrections) = -3.280 eV per atom

Lattice parameters (Å, degrees): 3.1111 5.6930 9.8845 90.00 90.00 90.00
Closest atoms and distances in Å follow each position.
Space group Cmm2 (No. 35)
Asymmetric unit:
Si (0.0000, 0.0000, 0.0000) (multiplicity 2)  2 Cl 2.40
As (0.0000, 0.5000, 0.7545) (multiplicity 2)  2 Cl 2.54
Cl (0.0000, 0.0000, 0.5511) (multiplicity 2)  2 As 2.54
Cl (0.0000, 0.5000, 0.1848) (multiplicity 2)  2 Si 2.40

=====

No. 7
Here is SiAsCl2 after structural relaxation from Alexandria. Energies are from PBE.

Values from the calculation:
distance to the lowest polymorph of the same formula = 0.6530 eV/atom
ρ = 3.6 g/cm³
uncorrected formation energy = 0.23 eV/atom
total DFT energy (no corrections) = -3.213 eV per atom

Lattice parameters (Å, degrees): 3.1638 5.7115 8.8349 90.00 90.00 90.00
Closest atoms and distances in Å follow each position.
Space group Immm (No. 71)
Asymmetric unit:
Si (0.0000, 0.0000, 0.0000) (multiplicity 2)  4 Cl 2.60
As (0.0000, 0.0000, 0.5000) (multiplicity 2)  4 Cl 2.83, 2 As 3.16
Cl (0.0000, 0.5000, 0.2658) (multiplicity 4)  2 Si 2.60, 2 As 2.83

=====

No. 8
Here is SiAsCl2 after structural relaxation from Alexandria. Energies are from PBE.

Values from the calculation:
distance to the lowest polymorph of the same formula = 0.9316 eV/atom
ρ = 3.7 g/cm³
uncorrected formation energy = 0.51 eV/atom
total DFT energy (no corrections) = -2.935 eV per atom

Lattice parameters (Å, degrees): 3.0657 4.2679 6.0333 90.00 90.00 90.00
Closest atoms and distances in Å follow each position.
Space group Pmmm (No. 47)
Asymmetric unit:
Si (0.0000, 0.0000, 0.0000) (multiplicity 1)  8 Cl 3.02, 2 As 3.02, 2 Si 3.07
As (0.0000, 0.0000, 0.5000) (multiplicity 1)  2 Si 3.02, 8 Cl 3.04, 2 As 3.07
Cl (0.5000, 0.5000, 0.2454) (multiplicity 2)  4 Cl 2.96-3.07, 4 Si 3.02, 4 As 3.04

=====

Which value of distance to the lowest polymorph of the same formula does entry 7 give?
0.6530 eV/atom